[1]
This record from Alexandria describes crystalline Y6C3SeS2 at its relaxed geometry. The functional is GGA-PBE.

The calculated volume is 19.5 Å³/atom.

The structure belongs to space group C2/m (No. 12); the cell edges are 16.817, 3.744 and 7.758 Å and the angles 90.00°, 106.19° and 90.00°. The inequivalent atoms are Y at (0.009, 0.000, 0.223), Y at (0.159, 0.500, 0.104), Y at (0.177, 0.500, 0.563), C at (0.000, 0.500, 0.000), C at (0.167, 0.000, 0.332), Se at (0.000, 0.500, 0.500) and S at (0.167, 0.000, 0.833).

---

[2]
This record from Alexandria describes crystalline Y6CSe3S2 at its relaxed geometry. The functional is GGA-PBE.

The calculated volume is 22.0 Å³/atom.

The structure belongs to space group C2/m (No. 12); the cell edges are 6.811, 11.775 and 6.974 Å and the angles 90.00°, 108.90° and 90.00°. The inequivalent atoms are Y at (0.225, 0.154, 0.214), Y at (0.234, 0.000, 0.782), C at (0.000, 0.000, 0.000), Se at (0.000, 0.173, 0.500), Se at (0.000, 0.500, 0.500) and S at (0.000, 0.334, 0.000).

---

[3]
This record from Alexandria describes crystalline Y8CSe3S4 at its relaxed geometry. The functional is GGA-PBE.

The calculated volume is 22.0 Å³/atom.

The structure belongs to space group R-3m (No. 166, hexagonal axes); the cell edges are 7.9612, 7.9612 and 19.2230 Å and the angles 90.00°, 90.00° and 120.00°. The inequivalent atoms are Y at (0.0000, 0.0000, 0.2429), Y at (0.0367, 0.5184, 0.7460), C at (0.0000, 0.0000, 0.0000), Se at (0.0000, 0.5000, 0.0000), S at (0.0000, 0.0000, 0.5000) and S at (0.0000, 0.5000, 0.5000).

---

| no. | raw formation energy (eV per atom) |
| --- | --- |
| 1 | -1.24 |
| 2 | -1.70 |
| 3 | -1.74 |